No. 1
The following is a DFT calculation (PBE-GGA) of a relaxed NbSiIr2 crystal.

a = 4.4083 Å, b = 4.4083 Å, c = 4.4083 Å
α = 60.00°, β = 60.00°, γ = 60.00°
Element x y z (fractional)
Nb1 0.0000 0.0000 0.0000
Si1 0.7500 0.7500 0.7500
Ir1 0.2500 0.2500 0.2500
Ir2 0.5000 0.5000 0.5000

As for the symmetry: No. 216. For the total energy, the calculation gives -8.47 eV per atom.


No. 2
The following is a DFT calculation (PBE-GGA) of a relaxed CsTcAgS3 crystal.

a = 8.1100 Å, b = 8.1100 Å, c = 9.8874 Å
α = 90.00°, β = 90.00°, γ = 153.20°
Element x y z (fractional)
Cs1 0.2496 0.7504 0.7500
Cs2 0.7504 0.2496 0.2500
Tc1 0.0000 0.0000 0.0000
Tc2 0.0000 0.0000 0.5000
Ag1 0.4550 0.5450 0.2500
Ag2 0.5450 0.4550 0.7500
S1 0.0595 0.9405 0.2500
S2 0.3959 0.6041 0.0226
S3 0.3959 0.6041 0.4774
S4 0.6041 0.3959 0.5226
S5 0.6041 0.3959 0.9774
S6 0.9405 0.0595 0.7500

As for the symmetry: No. 63. The polymorph energy (0 for the lowest one) comes out at 92 meV per atom.


No. 3
The following is a DFT calculation (PBE-GGA) of a relaxed K2MoSeN4 crystal.

a = 5.7448 Å, b = 5.7448 Å, c = 5.7448 Å
α = 118.23°, β = 118.23°, γ = 93.09°
Element x y z (fractional)
K1 0.0000 0.0000 0.0000
K2 0.7500 0.2500 0.5000
Mo1 0.5000 0.5000 0.0000
Se1 0.2500 0.7500 0.5000
N1 0.2380 0.6025 0.1026
N2 0.3975 0.5001 0.6355
N3 0.4999 0.1354 0.8974
N4 0.8646 0.7620 0.3645

As for the symmetry: No. 82. For the total energy, the calculation gives -6.10 eV per atom.


No. 4
The following is a DFT calculation (PBE-GGA) of a relaxed Pr2HoO4 crystal.

a = 6.9946 Å, b = 6.9946 Å, c = 6.9946 Å
α = 60.00°, β = 60.00°, γ = 60.00°
Element x y z (fractional)
Pr1 0.0000 0.0000 0.0000
Pr2 0.0000 0.0000 0.5000
Pr3 0.0000 0.5000 0.0000
Pr4 0.5000 0.0000 0.0000
Ho1 0.3750 0.3750 0.3750
Ho2 0.6250 0.6250 0.6250
O1 0.2495 0.7502 0.7502
O2 0.2498 0.2498 0.2498
O3 0.2498 0.2498 0.7505
O4 0.2498 0.7505 0.2498
O5 0.7502 0.2495 0.7502
O6 0.7502 0.7502 0.2495
O7 0.7502 0.7502 0.7502
O8 0.7505 0.2498 0.2498

As for the symmetry: No. 227. For the total energy, the calculation gives -7.92 eV per atom.


No. 5
The following is a DFT calculation (PBE-GGA) of a relaxed CsThMo crystal.

a = 5.0875 Å, b = 5.0875 Å, c = 5.0875 Å
α = 60.00°, β = 60.00°, γ = 60.00°
Element x y z (fractional)
Cs1 0.0000 0.0000 0.0000
Th1 0.5000 0.5000 0.5000
Mo1 0.2500 0.2500 0.2500

As for the symmetry: No. 216. The polymorph energy (0 for the lowest one) comes out at 0 meV per atom.


No. 6
The following is a DFT calculation (PBE-GGA) of a relaxed DyHoPt2 crystal.

a = 5.5509 Å, b = 4.5014 Å, c = 7.0091 Å
α = 90.00°, β = 90.15°, γ = 90.00°
Element x y z (fractional)
Dy1 0.1411 0.2500 0.1820
Dy2 0.8589 0.7500 0.8180
Ho1 0.3592 0.2500 0.6815
Ho2 0.6408 0.7500 0.3185
Pt1 0.1570 0.7500 0.4567
Pt2 0.3447 0.7500 0.9551
Pt3 0.6553 0.2500 0.0449
Pt4 0.8430 0.2500 0.5433

As for the symmetry: No. 11. For the total energy, the calculation gives -6.62 eV per atom.


No. 7
The following is a DFT calculation (PBE-GGA) of a relaxed Mg3Sc3PdAu2 crystal.

a = 7.3109 Å, b = 7.3109 Å, c = 3.8889 Å
α = 90.00°, β = 90.00°, γ = 120.00°
Element x y z (fractional)
Mg1 0.0000 0.2501 0.0000
Mg2 0.2501 0.0000 0.0000
Mg3 0.7499 0.7499 0.0000
Sc1 0.0000 0.5927 0.5000
Sc2 0.4073 0.4073 0.5000
Sc3 0.5927 0.0000 0.5000
Pd1 0.0000 0.0000 0.5000
Au1 0.3333 0.6667 0.0000
Au2 0.6667 0.3333 0.0000

As for the symmetry: No. 189. For the total energy, the calculation gives -4.54 eV per atom.


No. 8
The following is a DFT calculation (PBE-GGA) of a relaxed Nd2GdNiIr2Pb3 crystal.

a = 3.8930 Å, b = 7.7974 Å, c = 7.7974 Å
α = 119.84°, β = 90.00°, γ = 90.00°
Element x y z (fractional)
Nd1 0.0000 0.2055 0.7945
Nd2 0.0000 0.7945 0.2055
Gd1 0.0000 0.3830 0.3830
Ni1 0.0000 0.7914 0.7914
Ir1 0.5000 0.1322 0.4592
Ir2 0.5000 0.4592 0.1322
Pb1 0.5000 0.0492 0.0492
Pb2 0.5000 0.5399 0.7925
Pb3 0.5000 0.7925 0.5399

As for the symmetry: No. 38. For the total energy, the calculation gives -5.92 eV per atom.